Entry 1:
Material: AcPa2MnC4
Method: DFT, PBE
State: optimized geometry

Lattice parameters (Å, degrees): 6.307 6.307 12.065 90.00 90.00 146.72
Fractional positions:
1 Ac 0.099 0.901 0.750
2 Ac 0.901 0.099 0.250
3 Pa 0.367 0.633 0.548
4 Pa 0.367 0.633 0.952
5 Pa 0.633 0.367 0.048
6 Pa 0.633 0.367 0.452
7 Mn 0.169 0.831 0.250
8 Mn 0.831 0.169 0.750
9 C 0.000 0.000 0.000
10 C 0.000 0.000 0.500
11 C 0.254 0.746 0.121
12 C 0.254 0.746 0.379
13 C 0.397 0.603 0.750
14 C 0.603 0.397 0.250
15 C 0.746 0.254 0.621
16 C 0.746 0.254 0.879

---

Entry 2:
Material: AcMn2SiC
Method: DFT, PBE
State: optimized geometry

The energy relative to the elements, uncorrected is -19.6 kJ/mol of atoms.

Lattice parameters (Å, degrees): 5.878 5.878 7.101 90.00 90.00 139.13
Fractional positions:
1 Ac 0.053 0.947 0.750
2 Ac 0.947 0.053 0.250
3 Mn 0.336 0.664 0.567
4 Mn 0.336 0.664 0.933
5 Mn 0.664 0.336 0.067
6 Mn 0.664 0.336 0.433
7 Si 0.228 0.772 0.250
8 Si 0.772 0.228 0.750
9 C 0.500 0.500 0.000
10 C 0.500 0.500 0.500

---

Entry 3:
Material: AcMn2Si2C
Method: DFT, PBE
State: optimized geometry

The energy relative to the elements, uncorrected is -29.8 kJ/mol of atoms.

Lattice parameters (Å, degrees): 3.977 3.977 5.661 90.00 90.00 90.00
Fractional positions:
1 Ac 0.000 0.000 0.000
2 Mn 0.000 0.500 0.500
3 Mn 0.500 0.000 0.500
4 Si 0.500 0.500 0.257
5 Si 0.500 0.500 0.743
6 C 0.000 0.000 0.500

---

Entry 4:
Material: AcMo2C
Method: DFT, PBE
State: optimized geometry

Lattice parameters (Å, degrees): 8.279 8.279 8.279 22.78 22.78 22.78
Fractional positions:
1 Ac 0.000 0.000 0.000
2 Mo 0.123 0.123 0.123
3 Mo 0.877 0.877 0.877
4 C 0.500 0.500 0.500

---

Entry 5:
Material: AcMoC2
Method: DFT, PBE
State: optimized geometry

Its offset from the most stable computed form is 130 kJ/mol of formula units.

Lattice parameters (Å, degrees): 6.399 6.399 6.399 30.29 30.29 30.29
Fractional positions:
1 Ac 0.000 0.000 0.000
2 Mo 0.500 0.500 0.500
3 C 0.229 0.229 0.229
4 C 0.771 0.771 0.771

---

Entry 6:
Material: AcMoC2
Method: DFT, PBE
State: optimized geometry

Its offset from the most stable computed form is 0 kJ/mol of formula units.

Lattice parameters (Å, degrees): 6.817 6.869 5.753 90.00 104.82 90.00
Fractional positions:
1 Ac 0.169 0.092 0.307
2 Ac 0.169 0.408 0.807
3 Ac 0.831 0.592 0.193
4 Ac 0.831 0.908 0.693
5 Mo 0.381 0.663 0.351
6 Mo 0.381 0.837 0.851
7 Mo 0.619 0.163 0.149
8 Mo 0.619 0.337 0.649
9 C 0.156 0.750 0.043
10 C 0.156 0.750 0.543
11 C 0.461 0.113 0.761
12 C 0.461 0.387 0.261
13 C 0.539 0.613 0.739
14 C 0.539 0.887 0.239
15 C 0.844 0.250 0.457
16 C 0.844 0.250 0.957

---

Let's list energy in order: -8.83 -7.62 -7.40 -8.17 -7.94 -8.28 eV per atom.
Let's list total magnetic moment in order: 0.19 0.63 0.00 0.00 0.00 0.00 μB/atom.